## Mg2Fe (GGA-PBE)

Data for a relaxed Mg2Fe crystal.

- total DFT energy (no corrections) (Ry per atom) = -0.269
- crystal system = tetragonal
- formation energy (eV per atom) = 0.22

Cell lengths 12.426, 12.426, 12.426 Å; angles 160.72, 160.72, 27.39 degrees
Positions (direct):
Mg  0.001  0.501  0.500
Mg  0.751  0.751  0.000
Mg  0.414  0.414  0.000
Mg  0.836  0.336  0.500
Mg  0.664  0.164  0.500
Mg  0.586  0.586  0.000
Mg  0.499  0.999  0.500
Mg  0.249  0.249  0.000
Fe  0.092  0.092  0.000
Fe  0.908  0.908  0.000
Fe  0.158  0.658  0.500
Fe  0.342  0.842  0.500